Compound: NaNpFe
Source: OQMD via LeMat-Bulk
Functional: GGA-PBE
Structure: optimized geometry

POSCAR file:
```
NaNpFe
1.0
0.000 3.076 3.076
3.076 0.000 3.076
3.076 3.076 0.000
Na Np Fe
1 1 1
Direct
0.000 0.000 0.000 Na
0.500 0.500 0.500 Np
0.750 0.750 0.750 Fe
```

Results
* electronic total energy: -6.401 eV/atom
* total magnetization: 3.33 μB per cell
* symmetry: No. 216

Compound: LaNdP2Os2O2
Source: OQMD via LeMat-Bulk
Functional: GGA-PBE
Structure: optimized geometry

POSCAR file:
```
LaNdP2Os2O2
1.0
4.053 0.000 0.000
0.000 4.053 0.000
0.000 0.000 8.338
La Nd P Os O
1 1 2 2 2
Direct
0.000 0.000 0.000 La
0.500 0.500 0.713 Nd
0.000 0.000 0.503 P
0.500 0.500 0.215 P
0.000 0.500 0.360 Os
0.500 0.000 0.360 Os
0.000 0.500 0.854 O
0.500 0.000 0.854 O
```

Results
* electronic total energy: -8.483 eV/atom
* total magnetization: 0.00 μB per cell
* symmetry: No. 99